Entry 1:
Computed, not measured: a relaxed RbSmCu2Cl6 crystal at the PBE-GGA level of DFT.

CIF file:
```
data_RbSmCu2Cl6
_cell_length_a 9.861
_cell_length_b 13.999
_cell_length_c 8.699
_cell_angle_alpha 90.00
_cell_angle_beta 106.91
_cell_angle_gamma 90.00
_symmetry_space_group_name_H-M 'C 1 2/c 1'
_symmetry_Int_Tables_number 15
loop_
_symmetry_equiv_pos_as_xyz
'x,y,z'
'-x,-y,-z'
'-x,y,-z+1/2'
'x,-y,z+1/2'
'x+1/2,y+1/2,z'
'-x+1/2,-y+1/2,-z'
'-x+1/2,y+1/2,-z+1/2'
'x+1/2,-y+1/2,z+1/2'
loop_
_atom_site_label
_atom_site_type_symbol
_atom_site_fract_x
_atom_site_fract_y
_atom_site_fract_z
Rb1 Rb 0.000 0.135 0.250
Sm1 Sm 0.000 0.448 0.750
Cu1 Cu 0.213 0.148 0.718
Cl1 Cl 0.035 0.390 0.069
Cl2 Cl 0.191 0.293 0.782
Cl3 Cl 0.207 0.013 0.601
```

Results
total DFT energy (no corrections)	-0.145	hartree per atom
ΔE_f (raw)	-1.4496	eV per atom

=====

Entry 2:
Computed, not measured: a relaxed Rb2SmCuCl6 crystal at the PBE-GGA level of DFT.

CIF file:
```
data_Rb2SmCuCl6
_cell_length_a 10.507
_cell_length_b 10.507
_cell_length_c 10.507
_cell_angle_alpha 90.00
_cell_angle_beta 90.00
_cell_angle_gamma 90.00
_symmetry_space_group_name_H-M 'F m -3 m'
_symmetry_Int_Tables_number 225
_symmetry_space_group_name_Hall '-F 4 2 3'
loop_
_atom_site_label
_atom_site_type_symbol
_atom_site_fract_x
_atom_site_fract_y
_atom_site_fract_z
Rb1 Rb 0.250 0.250 0.250
Sm1 Sm 0.000 0.000 0.000
Cu1 Cu 0.000 0.000 0.500
Cl1 Cl 0.000 0.000 0.257
```

Results
total DFT energy (no corrections)	-0.145	hartree per atom
ΔE_f (raw)	-1.7582	eV per atom